Entry 1:
DFT (PBE) results for crystalline NaTlHg2Ge at its relaxed geometry.

Cell and atoms, written as CIF:
```
data_NaTlHg2Ge
_space_group_name_H-M_alt 'P 4/m m m'
_space_group_IT_number 123
_space_group_name_Hall '-P 4 2'
_cell_length_a 5.350
_cell_length_b 5.350
_cell_length_c 5.552
_cell_angle_alpha 90.00
_cell_angle_beta 90.00
_cell_angle_gamma 90.00
loop_
_atom_site_label
_atom_site_type_symbol
_atom_site_fract_x
_atom_site_fract_y
_atom_site_fract_z
_atom_site_occupancy
Na1 Na 0.000 0.000 0.000 1
Tl1 Tl 0.500 0.500 0.000 1
Hg1 Hg 0.000 0.500 0.500 1
Ge1 Ge 0.000 0.000 0.500 1
```

As for the crystal system: tetragonal.


Entry 2:
DFT (PBE) results for crystalline Na2TlHgGe at its relaxed geometry.

Cell and atoms, written as CIF:
```
data_Na2TlHgGe
_space_group_name_H-M_alt 'P 4/m m m'
_space_group_IT_number 123
_space_group_name_Hall '-P 4 2'
_cell_length_a 5.738
_cell_length_b 5.738
_cell_length_c 5.519
_cell_angle_alpha 90.00
_cell_angle_beta 90.00
_cell_angle_gamma 90.00
loop_
_atom_site_label
_atom_site_type_symbol
_atom_site_fract_x
_atom_site_fract_y
_atom_site_fract_z
_atom_site_occupancy
Na1 Na 0.000 0.500 0.000 1
Tl1 Tl 0.000 0.000 0.500 1
Hg1 Hg 0.500 0.500 0.500 1
Ge1 Ge 0.000 0.000 0.000 1
```

As for the crystal system: tetragonal.


Entry 3:
DFT (PBE) results for crystalline NaYHgGe at its relaxed geometry.

Cell and atoms, written as CIF:
```
data_NaYHgGe
_space_group_name_H-M_alt 'F -4 3 m'
_space_group_IT_number 216
_space_group_name_Hall 'F -4 2 3'
_cell_length_a 7.225
_cell_length_b 7.225
_cell_length_c 7.225
_cell_angle_alpha 90.00
_cell_angle_beta 90.00
_cell_angle_gamma 90.00
loop_
_atom_site_label
_atom_site_type_symbol
_atom_site_fract_x
_atom_site_fract_y
_atom_site_fract_z
_atom_site_occupancy
Na1 Na 0.000 0.000 0.000 1
Y1 Y 0.000 0.000 0.500 1
Hg1 Hg 0.250 0.250 0.250 1
Ge1 Ge 0.250 0.250 0.750 1
```

As for the crystal system: cubic.


Entry 4:
DFT (PBE) results for crystalline NaZn2HgGe at its relaxed geometry.

Cell and atoms, written as CIF:
```
data_NaZn2HgGe
_space_group_name_H-M_alt 'P 4/m m m'
_space_group_IT_number 123
_space_group_name_Hall '-P 4 2'
_cell_length_a 5.065
_cell_length_b 5.065
_cell_length_c 5.309
_cell_angle_alpha 90.00
_cell_angle_beta 90.00
_cell_angle_gamma 90.00
loop_
_atom_site_label
_atom_site_type_symbol
_atom_site_fract_x
_atom_site_fract_y
_atom_site_fract_z
_atom_site_occupancy
Na1 Na 0.000 0.000 0.000 1
Zn1 Zn 0.000 0.500 0.000 1
Hg1 Hg 0.000 0.000 0.500 1
Ge1 Ge 0.500 0.500 0.500 1
```

As for the crystal system: tetragonal.


Entry 5:
DFT (PBE) results for crystalline NaZrHgGe2 at its relaxed geometry.

Cell and atoms, written as CIF:
```
data_NaZrHgGe2
_space_group_name_H-M_alt 'P 4/m m m'
_space_group_IT_number 123
_space_group_name_Hall '-P 4 2'
_cell_length_a 4.889
_cell_length_b 4.889
_cell_length_c 4.929
_cell_angle_alpha 90.00
_cell_angle_beta 90.00
_cell_angle_gamma 90.00
loop_
_atom_site_label
_atom_site_type_symbol
_atom_site_fract_x
_atom_site_fract_y
_atom_site_fract_z
_atom_site_occupancy
Na1 Na 0.000 0.000 0.000 1
Zr1 Zr 0.500 0.500 0.500 1
Hg1 Hg 0.000 0.000 0.500 1
Ge1 Ge 0.000 0.500 0.000 1
```

As for the crystal system: tetragonal.


Entry 6:
DFT (PBE) results for crystalline Nb3HgGe at its relaxed geometry.

Cell and atoms, written as CIF:
```
data_Nb3HgGe
_space_group_name_H-M_alt 'P m -3 m'
_space_group_IT_number 221
_space_group_name_Hall '-P 4 2 3'
_cell_length_a 4.780
_cell_length_b 4.780
_cell_length_c 4.780
_cell_angle_alpha 90.00
_cell_angle_beta 90.00
_cell_angle_gamma 90.00
loop_
_atom_site_label
_atom_site_type_symbol
_atom_site_fract_x
_atom_site_fract_y
_atom_site_fract_z
_atom_site_occupancy
Nb1 Nb 0.000 0.000 0.500 1
Hg1 Hg 0.500 0.500 0.500 1
Ge1 Ge 0.000 0.000 0.000 1
```

The energy above the most stable polymorph in this dataset comes out at 0.0000 eV/atom. As for the crystal system: cubic.


Entry 7:
DFT (PBE) results for crystalline NbHgGe2 at its relaxed geometry.

Cell and atoms, written as CIF:
```
data_NbHgGe2
_space_group_name_H-M_alt 'I -4 2 d'
_space_group_IT_number 122
_space_group_name_Hall 'I -4 2bw'
_cell_length_a 7.535
_cell_length_b 7.535
_cell_length_c 5.846
_cell_angle_alpha 90.00
_cell_angle_beta 90.00
_cell_angle_gamma 90.00
loop_
_atom_site_label
_atom_site_type_symbol
_atom_site_fract_x
_atom_site_fract_y
_atom_site_fract_z
_atom_site_occupancy
Nb1 Nb 0.000 0.000 0.000 1
Hg1 Hg 0.000 0.000 0.500 1
Ge1 Ge 0.229 0.750 0.125 1
```

As for the crystal system: tetragonal.


Entry 8:
DFT (PBE) results for crystalline Nb2HgGe at its relaxed geometry.

Cell and atoms, written as CIF:
```
data_Nb2HgGe
_space_group_name_H-M_alt 'I -4 2 d'
_space_group_IT_number 122
_space_group_name_Hall 'I -4 2bw'
_cell_length_a 3.996
_cell_length_b 3.996
_cell_length_c 20.003
_cell_angle_alpha 90.00
_cell_angle_beta 90.00
_cell_angle_gamma 90.00
loop_
_atom_site_label
_atom_site_type_symbol
_atom_site_fract_x
_atom_site_fract_y
_atom_site_fract_z
_atom_site_occupancy
Nb1 Nb 0.239 0.250 0.125 1
Hg1 Hg 0.000 0.000 0.500 1
Ge1 Ge 0.000 0.000 0.000 1
```

As for the crystal system: tetragonal.


Entry 9:
DFT (PBE) results for crystalline NbHgGe3 at its relaxed geometry.

Cell and atoms, written as CIF:
```
data_NbHgGe3
_space_group_name_H-M_alt 'P m -3 m'
_space_group_IT_number 221
_space_group_name_Hall '-P 4 2 3'
_cell_length_a 5.077
_cell_length_b 5.077
_cell_length_c 5.077
_cell_angle_alpha 90.00
_cell_angle_beta 90.00
_cell_angle_gamma 90.00
loop_
_atom_site_label
_atom_site_type_symbol
_atom_site_fract_x
_atom_site_fract_y
_atom_site_fract_z
_atom_site_occupancy
Nb1 Nb 0.000 0.000 0.000 1
Hg1 Hg 0.500 0.500 0.500 1
Ge1 Ge 0.000 0.000 0.500 1
```

The energy above the most stable polymorph in this dataset comes out at 0.0000 eV/atom. As for the crystal system: cubic.


Entry 10:
DFT (PBE) results for crystalline Nb2Hg2Ge at its relaxed geometry.

Cell and atoms, written as CIF:
```
data_Nb2Hg2Ge
_space_group_name_H-M_alt 'I 4/m m m'
_space_group_IT_number 139
_space_group_name_Hall '-I 4 2'
_cell_length_a 3.811
_cell_length_b 3.811
_cell_length_c 15.002
_cell_angle_alpha 90.00
_cell_angle_beta 90.00
_cell_angle_gamma 90.00
loop_
_atom_site_label
_atom_site_type_symbol
_atom_site_fract_x
_atom_site_fract_y
_atom_site_fract_z
_atom_site_occupancy
Nb1 Nb 0.000 0.500 0.250 1
Hg1 Hg 0.000 0.000 0.096 1
Ge1 Ge 0.000 0.000 0.500 1
```

The energy above the most stable polymorph in this dataset comes out at 0.0194 eV/atom. As for the crystal system: tetragonal.


Entry 11:
DFT (PBE) results for crystalline Nb2Hg2Ge at its relaxed geometry.

Cell and atoms, written as CIF:
```
data_Nb2Hg2Ge
_space_group_name_H-M_alt 'P 4/m b m'
_space_group_IT_number 127
_space_group_name_Hall '-P 4 2ab'
_cell_length_a 8.620
_cell_length_b 8.620
_cell_length_c 2.909
_cell_angle_alpha 90.00
_cell_angle_beta 90.00
_cell_angle_gamma 90.00
loop_
_atom_site_label
_atom_site_type_symbol
_atom_site_fract_x
_atom_site_fract_y
_atom_site_fract_z
_atom_site_occupancy
Nb1 Nb 0.108 0.392 0.000 1
Hg1 Hg 0.186 0.686 0.500 1
Ge1 Ge 0.000 0.000 0.500 1
```

The energy above the most stable polymorph in this dataset comes out at 0.0000 eV/atom. As for the crystal system: tetragonal.


Entry 12:
DFT (PBE) results for crystalline NbHg2Ge at its relaxed geometry.

Cell and atoms, written as CIF:
```
data_NbHg2Ge
_space_group_name_H-M_alt 'I -4 2 d'
_space_group_IT_number 122
_space_group_name_Hall 'I -4 2bw'
_cell_length_a 7.830
_cell_length_b 7.830
_cell_length_c 5.528
_cell_angle_alpha 90.00
_cell_angle_beta 90.00
_cell_angle_gamma 90.00
loop_
_atom_site_label
_atom_site_type_symbol
_atom_site_fract_x
_atom_site_fract_y
_atom_site_fract_z
_atom_site_occupancy
Nb1 Nb 0.000 0.000 0.000 1
Hg1 Hg 0.238 0.750 0.625 1
Ge1 Ge 0.000 0.000 0.500 1
```

As for the crystal system: tetragonal.


Number 1: formation energy from the elements 0.1333 eV/atom, spin magnetization 0.000 μB per formula unit. Number 2: formation energy from the elements 0.0279 eV/atom, spin magnetization 0.000 μB per formula unit. Number 3: formation energy from the elements -0.3950 eV/atom, spin magnetization 0.000 μB per formula unit. Number 4: formation energy from the elements 0.8063 eV/atom, spin magnetization 0.000 μB per formula unit. Number 5: formation energy from the elements 0.8200 eV/atom, spin magnetization 0.000 μB per formula unit. Number 6: formation energy from the elements 0.8037 eV/atom, spin magnetization 0.000 μB per formula unit. Number 7: formation energy from the elements 0.4686 eV/atom, spin magnetization 0.000 μB per formula unit. Number 8: formation energy from the elements 0.4314 eV/atom, spin magnetization 0.000 μB per formula unit. Number 9: formation energy from the elements 0.3306 eV/atom, spin magnetization 0.000 μB per formula unit. Number 10: formation energy from the elements 0.5308 eV/atom, spin magnetization 0.000 μB per formula unit. Number 11: formation energy from the elements 0.5113 eV/atom, spin magnetization 0.000 μB per formula unit. Number 12: formation energy from the elements 0.4202 eV/atom, spin magnetization 0.000 μB per formula unit.